Entry 1:
# Te2RhPb

A geometry-optimized Te2RhPb structure (PBE, Alexandria).

It has space group I4/mmm (No. 139), with a = 5.972 Å, b = 5.972 Å, c = 5.944 Å, α = 90.00°, β = 90.00° and γ = 90.00°. The asymmetric unit holds Te at (0.000, 0.500, 0.000), Rh at (0.000, 0.000, 0.000) and Pb at (0.000, 0.000, 0.500).

The calculation puts the final energy at -0.1537 hartree per atom. The density of states at the Fermi level comes out at 0.847 states/eV/atom. The size of the total moment comes out at 0.0002 μB/atom. For the uncorrected formation energy, the calculation gives 153 meV per atom.

Entry 2:
# YTeF2

A geometry-optimized YTeF2 structure (PBE, Alexandria).

It has space group Fm-3m (No. 225), with a = 6.561 Å, b = 6.561 Å, c = 6.561 Å, α = 90.00°, β = 90.00° and γ = 90.00°. The asymmetric unit holds Y at (0.000, 0.000, 0.000), Te at (0.000, 0.000, 0.500) and F at (0.250, 0.250, 0.250).

The calculation puts the final energy at -0.1940 hartree per atom. The density of states at the Fermi level comes out at 0.982 states/eV/atom. The size of the total moment comes out at 0.0000 μB/atom. For the uncorrected formation energy, the calculation gives -1943 meV per atom.

Entry 3:
# Ba2TiS

A geometry-optimized Ba2TiS structure (PBE, Alexandria).

It has space group I-42d (No. 122), with a = 11.934 Å, b = 11.934 Å, c = 4.699 Å, α = 90.00°, β = 90.00° and γ = 90.00°. The asymmetric unit holds Ba at (0.080, 0.250, 0.125), Ti at (0.000, 0.000, 0.500) and S at (0.000, 0.000, 0.000).

The calculation puts the final energy at -0.1629 hartree per atom. The density of states at the Fermi level comes out at 1.432 states/eV/atom. The size of the total moment comes out at 0.7512 μB/atom. For the uncorrected formation energy, the calculation gives -466 meV per atom.